An optimized crystal structure of LiMgNiF6. Source: the Alexandria database, functional PBE with a Hubbard U.

Computed properties:
- Total moment: 0.343 μB/atom
- Space-group type: P4_2nm, No. 102
- VASP energy: -4.534 eV/atom

extended XYZ file:
```
18
Lattice="4.645 0.000 0.000 0.000 4.645 0.000 0.000 0.000 9.112" Properties=species:S:1:pos:R:3 pbc="T T T"
F 3.210 3.210 9.053
F 3.673 0.973 7.566
F 1.413 1.413 6.153
F 3.233 3.233 6.153
F 3.736 0.910 1.597
F 0.910 3.736 1.597
F 3.295 3.295 3.010
F 1.435 1.435 9.053
F 3.758 0.888 4.497
F 0.973 3.673 7.566
F 1.350 1.350 3.010
F 0.888 3.758 4.497
Mg 2.323 2.323 1.527
Mg 0.000 0.000 6.084
Ni 2.323 2.323 7.589
Ni 0.000 0.000 3.032
Li 0.000 0.000 0.013
Li 2.323 2.323 4.569
```